Entry 1:
LiCoS2: optimized geometry, PBE.

Computed properties:
Energy above the most stable polymorph in this dataset in meV/atom: 559
Fermi-level density of states in states/eV/cell: 1.65
VASP energy in Ha/atom: -0.166
SG: Fm-3m (225)
Total moment in Bohr magnetons per cell: 2.04

Unit cell a=4.244 b=4.244 c=4.244 alpha=60.00 beta=60.00 gamma=60.00
Element x y z (fractional)
Li 0.000 0.000 0.000
Co 0.500 0.500 0.500
S 0.250 0.250 0.250
S 0.750 0.750 0.750

***

Entry 2:
GeP2Au: optimized geometry, PBE.

Computed properties:
Formation energy in eV per atom: 0.018
Fermi-level density of states in states/eV/cell: 4.02
VASP energy in Ha/atom: -0.171
SG: I-42d (122)
Total moment in Bohr magnetons per cell: 0.00

Unit cell a=6.727 b=6.727 c=6.727 alpha=130.66 beta=130.66 gamma=72.35
Element x y z (fractional)
Ge 0.000 0.000 0.000
Ge 0.750 0.250 0.500
P 0.118 0.625 0.993
P 0.375 0.368 0.493
P 0.632 0.125 0.007
P 0.875 0.882 0.507
Au 0.250 0.750 0.500
Au 0.500 0.500 0.000

***

Entry 3:
Er3TmHf2N6: optimized geometry, PBE.

Computed properties:
Fermi-level density of states in states/eV/cell: 2.55
VASP energy in Ha/atom: -0.337
SG: C2/m (12)
Total moment in Bohr magnetons per cell: 0.00

Unit cell a=7.463 b=7.463 c=6.694 alpha=103.20 beta=103.20 gamma=25.78
Element x y z (fractional)
Er 0.000 0.000 0.000
Er 0.334 0.334 0.667
Er 0.666 0.666 0.333
Tm 0.000 0.000 0.500
Hf 0.333 0.333 0.166
Hf 0.667 0.667 0.834
N 0.167 0.167 0.600
N 0.172 0.172 0.072
N 0.493 0.493 0.247
N 0.507 0.507 0.753
N 0.828 0.828 0.928
N 0.833 0.833 0.400

***

Entry 4:
CeThCuTc: optimized geometry, PBE.

Computed properties:
Formation energy in eV per atom: -0.052
Fermi-level density of states in states/eV/cell: 6.65
VASP energy in Ha/atom: -0.257
SG: F-43m (216)
Total moment in Bohr magnetons per cell: 0.01

Unit cell a=4.989 b=4.989 c=4.989 alpha=60.00 beta=60.00 gamma=60.00
Element x y z (fractional)
Ce 0.000 0.000 0.000
Th 0.500 0.500 0.500
Cu 0.250 0.250 0.250
Tc 0.750 0.750 0.750

***

Entry 5:
KVCo2Br8: optimized geometry, PBE.

Computed properties:
Fermi-level density of states in states/eV/cell: 12.89
VASP energy in Ha/atom: -0.140
SG: R-3 (148)
Total moment in Bohr magnetons per cell: 7.92

Unit cell a=10.638 b=10.638 c=10.638 alpha=36.07 beta=36.07 gamma=36.07
Element x y z (fractional)
K 0.000 0.000 0.000
V 0.500 0.500 0.500
Co 0.240 0.240 0.240
Co 0.760 0.760 0.760
Br 0.140 0.438 0.771
Br 0.229 0.860 0.562
Br 0.318 0.318 0.318
Br 0.438 0.771 0.140
Br 0.562 0.229 0.860
Br 0.682 0.682 0.682
Br 0.771 0.140 0.438
Br 0.860 0.562 0.229

***

Entry 6:
ScTaTe2: optimized geometry, PBE.

Computed properties:
Energy above the most stable polymorph in this dataset in meV/atom: 298
Fermi-level density of states in states/eV/cell: 2.22
VASP energy in Ha/atom: -0.234
SG: R3m (160)
Total moment in Bohr magnetons per cell: 0.76

Unit cell a=10.897 b=10.897 c=10.897 alpha=18.15 beta=18.15 gamma=18.15
Element x y z (fractional)
Sc 0.000 0.000 0.000
Ta 0.738 0.738 0.738
Te 0.263 0.263 0.263
Te 0.466 0.466 0.466

***

Entry 7:
Pm3ErCu2: optimized geometry, PBE.

Computed properties:
Formation energy in eV per atom: -0.120
Fermi-level density of states in states/eV/cell: 12.32
VASP energy in Ha/atom: -0.170
SG: Pmc2_1 (26)
Total moment in Bohr magnetons per cell: 0.00

Unit cell a=4.996 b=8.918 c=6.959 alpha=90.00 beta=90.00 gamma=90.00
Element x y z (fractional)
Pm 0.000 0.078 0.000
Pm 0.000 0.341 0.362
Pm 0.000 0.659 0.862
Pm 0.000 0.922 0.500
Pm 0.500 0.164 0.652
Pm 0.500 0.836 0.152
Er 0.500 0.425 0.018
Er 0.500 0.575 0.518
Cu 0.000 0.350 0.773
Cu 0.000 0.650 0.273
Cu 0.500 0.158 0.242
Cu 0.500 0.842 0.742

***

Entry 8:
Ac2LaPr5Nd: optimized geometry, PBE.

Computed properties:
Formation energy in eV per atom: 0.117
Fermi-level density of states in states/eV/cell: 26.61
VASP energy in Ha/atom: -0.166
SG: Cmc2_1 (36)
Total moment in Bohr magnetons per cell: 0.00

Unit cell a=10.908 b=10.908 c=11.199 alpha=90.00 beta=90.00 gamma=148.43
Element x y z (fractional)
Ac 0.111 0.889 0.500
Ac 0.122 0.878 0.097
Ac 0.878 0.122 0.597
Ac 0.889 0.111 0.000
La 0.212 0.788 0.772
La 0.788 0.212 0.272
Pr 0.021 0.979 0.798
Pr 0.285 0.715 0.071
Pr 0.294 0.706 0.464
Pr 0.401 0.599 0.796
Pr 0.477 0.523 0.511
Pr 0.523 0.477 0.011
Pr 0.599 0.401 0.296
Pr 0.706 0.294 0.964
Pr 0.715 0.285 0.571
Pr 0.979 0.021 0.298
Nd 0.412 0.588 0.228
Nd 0.588 0.412 0.728

***

Entry 9:
MoRuPt: optimized geometry, PBE.

Computed properties:
Formation energy in eV per atom: -0.149
Energy above the most stable polymorph in this dataset in meV/atom: 30
Fermi-level density of states in states/eV/cell: 2.16
VASP energy in Ha/atom: -0.326
SG: I4mm (107)
Total moment in Bohr magnetons per cell: 0.00

Unit cell a=6.191 b=6.191 c=6.191 alpha=154.11 beta=154.11 gamma=36.94
Element x y z (fractional)
Mo 0.000 0.000 0.000
Ru 0.654 0.654 0.000
Pt 0.329 0.329 0.000

***

Entry 10:
MnTe3Ir: optimized geometry, PBE.

Computed properties:
Energy above the most stable polymorph in this dataset in meV/atom: 246
Fermi-level density of states in states/eV/cell: 8.85
VASP energy in Ha/atom: -0.156
SG: Pm-3m (221)
Total moment in Bohr magnetons per cell: 0.70

Unit cell a=5.247 b=5.247 c=5.247 alpha=90.00 beta=90.00 gamma=90.00
Element x y z (fractional)
Mn 0.000 0.000 0.000
Te 0.000 0.500 0.500
Te 0.500 0.000 0.500
Te 0.500 0.500 0.000
Ir 0.500 0.500 0.500

***

Entry 11:
Te4Pt2Rh: optimized geometry, PBE.

Computed properties:
Fermi-level density of states in states/eV/cell: 5.93
VASP energy in Ha/atom: -0.161
SG: I4/mmm (139)
Total moment in Bohr magnetons per cell: 0.00

Unit cell a=7.555 b=7.555 c=7.555 alpha=139.33 beta=139.33 gamma=58.87
Element x y z (fractional)
Te 0.000 0.500 0.500
Te 0.208 0.208 0.000
Te 0.500 0.000 0.500
Te 0.792 0.792 0.000
Pt 0.400 0.400 0.000
Pt 0.600 0.600 0.000
Rh 0.000 0.000 0.000

***

Entry 12:
Pa2TaHN5: optimized geometry, PBE.

Computed properties:
Fermi-level density of states in states/eV/cell: 2.39
VASP energy in Ha/atom: -0.347
SG: Cmc2_1 (36)
Total moment in Bohr magnetons per cell: 0.00

Unit cell a=6.801 b=6.801 c=9.840 alpha=90.00 beta=90.00 gamma=153.46
Element x y z (fractional)
Pa 0.121 0.879 0.500
Pa 0.121 0.879 0.862
Pa 0.879 0.121 0.000
Pa 0.879 0.121 0.362
Ta 0.182 0.818 0.181
Ta 0.818 0.182 0.681
H 0.474 0.526 0.679
H 0.526 0.474 0.179
N 0.029 0.971 0.178
N 0.306 0.694 0.531
N 0.306 0.694 0.830
N 0.344 0.656 0.181
N 0.500 0.500 0.429
N 0.500 0.500 0.929
N 0.656 0.344 0.681
N 0.694 0.306 0.031
N 0.694 0.306 0.330
N 0.971 0.029 0.678

***

The highest total moment belongs to which entry? KVCo2Br8

***

Please write out number 12 again, unchanged.
Pa2TaHN5: optimized geometry, PBE.

Computed properties:
Fermi-level density of states in states/eV/cell: 2.39
VASP energy in Ha/atom: -0.347
SG: Cmc2_1 (36)
Total moment in Bohr magnetons per cell: 0.00

Unit cell a=6.801 b=6.801 c=9.840 alpha=90.00 beta=90.00 gamma=153.46
Element x y z (fractional)
Pa 0.121 0.879 0.500
Pa 0.121 0.879 0.862
Pa 0.879 0.121 0.000
Pa 0.879 0.121 0.362
Ta 0.182 0.818 0.181
Ta 0.818 0.182 0.681
H 0.474 0.526 0.679
H 0.526 0.474 0.179
N 0.029 0.971 0.178
N 0.306 0.694 0.531
N 0.306 0.694 0.830
N 0.344 0.656 0.181
N 0.500 0.500 0.429
N 0.500 0.500 0.929
N 0.656 0.344 0.681
N 0.694 0.306 0.031
N 0.694 0.306 0.330
N 0.971 0.029 0.678

***

total moment of number 4 (CeThCuTc)? 0.01 Bohr magnetons per cell